No. 1
Compound: Te2Pb2S
Source: the Alexandria database
Functional: PBE-GGA
Structure: optimized geometry

The structure in POSCAR format:
```
Te2Pb2S
1.0
-5.0390 4.5256 4.2704
-4.4928 1.1555 -6.5260
-2.7555 -4.1626 1.1600
Pb Te S
4 4 2
Direct
0.7011 0.2011 0.0000
0.2011 0.2989 0.0000
0.7989 0.7011 0.0000
0.2989 0.7989 0.0000
0.6249 0.8751 0.5000
0.8751 0.3751 0.5000
0.3751 0.1249 0.5000
0.1249 0.6249 0.5000
0.0000 0.0000 0.0000
0.5000 0.5000 0.0000
```

Output
**ΔE_f (raw)**: -0.050 eV per atom

No. 2
Compound: AcSnHg4
Source: the Alexandria database
Functional: PBE-GGA
Structure: optimized geometry

The structure in POSCAR format:
```
AcSnHg4
1.0
-3.0468 -3.8945 0.3311
1.2644 -0.5833 4.7744
-6.5299 2.1195 1.9880
Ac Hg Sn
1 4 1
Direct
0.0000 0.5000 0.5000
0.1745 0.0000 0.1520
0.6754 0.5000 0.1472
0.8255 0.0000 0.8480
0.3246 0.5000 0.8528
0.5000 0.0000 0.5000
```

Output
**Calculated formation energy**: -172 kJ/mol of formula units

no.,E (eV/cell),magnetization (μB per cell)
1,-36.16,0.0
2,-11.10,0.0